12
Lattice="5.059 0.000 0.000 -2.529 4.381 0.000 0.000 0.000 19.659" Properties=species:S:1:pos:R:3 comment="K2AgTe3, optimized geometry, DFT PBE-GGA" relative_energy_mev_per_atom=0 sg="P6_3/mmc, No. 194" pbc="T T T"
K 0.000 0.000 2.569
K 0.000 0.000 7.261
K 0.000 0.000 12.398
K 0.000 0.000 17.090
Ag 0.000 2.921 4.915
Ag 2.529 1.460 14.744
Te 0.000 2.921 0.307
Te 0.000 2.921 9.522
Te 0.000 2.921 14.744
Te 2.529 1.460 4.915
Te 2.529 1.460 10.137
Te 2.529 1.460 19.352